# 1
P2PbCl | PBE-GGA | optimized geometry

Cell: 6.664 6.664 6.664 Å, 146.24 146.24 48.49°
Sites, in units of the cell vectors:
P: 0.250 0.750 0.500
P: 0.750 0.250 0.500
Pb: 0.000 0.000 0.000
Cl: 0.500 0.500 0.000

Its offset from the most stable computed form is 499.9 meV per atom. The calculation puts the uncorrected formation energy at 0.27 eV per atom. The total energy comes out at -3.83 eV per atom. Its symmetry is No. 139.



# 2
Y5Cu3 | PBE-GGA | optimized geometry

Cell: 3.484 3.484 15.915 Å, 90.00 90.00 90.00°
Sites, in units of the cell vectors:
Y: 0.000 0.000 0.000
Y: 0.000 0.000 0.218
Y: 0.000 0.000 0.782
Y: 0.500 0.500 0.391
Y: 0.500 0.500 0.609
Cu: 0.000 0.000 0.500
Cu: 0.500 0.500 0.109
Cu: 0.500 0.500 0.891

The energy of formation is -0.163 eV/atom. Its offset from the most stable computed form is 0.0 meV per atom. The total energy comes out at -5.74 eV per atom. Its symmetry is No. 123.



# 3
SrNdZn2 | PBE-GGA | optimized geometry

Cell: 3.802 3.802 7.553 Å, 90.00 90.00 90.00°
Sites, in units of the cell vectors:
Sr: 0.000 0.000 0.000
Nd: 0.000 0.000 0.500
Zn: 0.500 0.500 0.280
Zn: 0.500 0.500 0.720

The energy of formation is -0.241 eV/atom. The total energy comes out at -2.49 eV per atom. Its symmetry is No. 123.



Values for magnetic moment, μB/atom, ordered as above
0.00; 0.04; 0.03